1.
# PmSmEr2In4

A geometry-optimized PmSmEr2In4 structure (PBE, the Alexandria database).

Density ... 8.3 Mg/m³
Total moment ... 0.0000 μB per atom
Raw total energy ... -4.160 eV/atom
N(E_F) ... 0.48 states/eV per atom

Lattice parameters (Å, degrees): 5.352 5.352 9.288 73.26 73.26 60.00
Element x y z (fractional)
Pm  0.000  0.000  0.000
Sm  0.500  0.500  0.500
Er  0.750  0.750  0.750
Er  0.250  0.250  0.250
In  0.375  0.375  0.874
In  0.875  0.875  0.376
In  0.125  0.125  0.624
In  0.625  0.625  0.126

---

2.
# Tb2PmErIn4

A geometry-optimized Tb2PmErIn4 structure (PBE, the Alexandria database).

Density ... 8.4 Mg/m³
Total moment ... 0.0000 μB per atom
Raw total energy ... -4.161 eV/atom
N(E_F) ... 0.43 states/eV per atom

Lattice parameters (Å, degrees): 5.342 5.342 9.279 73.27 73.27 60.00
Element x y z (fractional)
Tb  0.751  0.751  0.748
Tb  0.249  0.249  0.252
Pm  0.000  0.000  0.000
Er  0.500  0.500  0.500
In  0.376  0.376  0.871
In  0.874  0.874  0.379
In  0.126  0.126  0.621
In  0.624  0.624  0.129